Ce2BiS5: optimized geometry, GGA-PBE.

```
Ce2BiS5
1.0
-4.650 -0.402 2.780
5.121 -4.538 2.601
4.244 9.658 8.493
S Bi Ce
10 2 4
direct
0.690 0.380 0.934 S
0.241 0.482 0.750 S
0.759 0.518 0.250 S
0.690 0.380 0.566 S
0.310 0.620 0.066 S
0.310 0.620 0.434 S
0.952 0.904 0.885 S
0.952 0.904 0.615 S
0.048 0.096 0.385 S
0.048 0.096 0.115 S
0.193 0.386 0.250 Bi
0.807 0.614 0.750 Bi
0.856 0.711 0.439 Ce
0.144 0.289 0.939 Ce
0.144 0.289 0.561 Ce
0.856 0.711 0.061 Ce
```

## Properties
**Excess energy over the best structure of this formula in the dataset**: 20 meV/atom
**Space-group type**: Cmcm, No. 63
**Total moment**: 2.072 μB/cell
**N(E_F)**: 15.835 states/eV per cell
**Electronic total energy**: -5.914 eV per atom

K2Cd3Ag4: optimized geometry, GGA-PBE.

```
K2Cd3Ag4
1.0
-2.925 -3.742 -4.123
-2.013 -5.570 1.686
-13.942 3.769 1.673
Ag K Cd
8 4 6
direct
0.894 0.172 0.660 Ag
0.446 0.828 0.660 Ag
0.856 0.328 0.840 Ag
0.304 0.672 0.840 Ag
0.816 0.328 0.160 Ag
0.726 0.828 0.340 Ag
0.934 0.172 0.340 Ag
0.024 0.672 0.160 Ag
0.174 0.500 0.652 K
0.424 0.000 0.152 K
0.576 0.000 0.848 K
0.326 0.500 0.348 K
0.491 0.500 0.019 Cd
0.000 0.000 0.000 Cd
0.259 0.000 0.481 Cd
0.009 0.500 0.981 Cd
0.741 0.000 0.519 Cd
0.750 0.500 0.500 Cd
```

## Properties
**Space-group type**: Fddd, No. 70
**Total moment**: 0.000 μB/cell
**E_form**: 13 meV per atom
**N(E_F)**: 4.193 states/eV per cell
**Electronic total energy**: -1.803 eV per atom

Sr2MoPtPb: optimized geometry, GGA-PBE.

```
Sr2MoPtPb
1.0
5.869 0.000 0.000
0.000 4.903 0.000
0.000 0.000 5.869
Sr Mo Pt Pb
2 1 1 1
direct
0.000 0.000 0.500 Sr
0.500 0.000 0.000 Sr
0.000 0.500 0.000 Mo
0.000 0.000 0.000 Pt
0.500 0.500 0.500 Pb
```

## Properties
**Space-group type**: P4/mmm, No. 123
**Total moment**: 2.138 μB/cell
**E_form**: 191 meV per atom
**N(E_F)**: 4.076 states/eV per cell
**Electronic total energy**: -4.597 eV per atom

MgCrOs2Ru: optimized geometry, GGA-PBE.

```
MgCrOs2Ru
1.0
-0.334 1.834 -3.953
3.560 -1.919 -1.191
-2.318 -3.432 -1.397
Cr Mg Os Ru
1 1 2 1
direct
0.000 0.500 0.000 Cr
0.000 0.000 0.000 Mg
0.000 0.000 0.500 Os
0.500 0.000 0.000 Os
0.500 0.500 0.500 Ru
```

## Properties
**Space-group type**: P4/mmm, No. 123
**Total moment**: 0.000 μB/cell
**E_form**: 2296 meV per atom
**N(E_F)**: 6.221 states/eV per cell
**Electronic total energy**: -6.295 eV per atom

CdFe: optimized geometry, GGA-PBE.

```
CdFe
1.0
4.244 0.000 0.000
2.122 3.675 0.000
2.122 1.225 3.465
Fe Cd
1 1
direct
0.250 0.250 0.250 Fe
0.000 0.000 0.000 Cd
```

## Properties
**Space-group type**: F-43m, No. 216
**Total moment**: 3.004 μB/cell
**E_form**: 1457 meV per atom
**N(E_F)**: 3.590 states/eV per cell
**Electronic total energy**: -3.232 eV per atom

Re2TeW2: optimized geometry, GGA-PBE.

```
Re2TeW2
1.0
4.034 0.000 0.000
0.000 4.034 0.000
2.017 2.017 6.195
Re W Te
2 2 1
direct
0.250 0.750 0.500 Re
0.750 0.250 0.500 Re
0.625 0.625 0.750 W
0.375 0.375 0.250 W
0.000 0.000 0.000 Te
```

## Properties
**Excess energy over the best structure of this formula in the dataset**: 94 meV/atom
**Space-group type**: I4/mmm, No. 139
**Total moment**: 0.000 μB/cell
**N(E_F)**: 3.751 states/eV per cell
**Electronic total energy**: -10.138 eV per atom

MoOsAu: optimized geometry, GGA-PBE.

```
MoOsAu
1.0
-4.012 0.656 2.749
-4.480 -0.250 -1.988
4.252 -2.311 0.814
Os Mo Au
1 1 1
direct
0.675 0.675 0.000 Os
0.324 0.324 0.000 Mo
0.001 0.001 0.000 Au
```

## Properties
**Excess energy over the best structure of this formula in the dataset**: 50 meV/atom
**Space-group type**: Imm2, No. 44
**Total moment**: 0.000 μB/cell
**E_form**: 270 meV per atom
**N(E_F)**: 2.259 states/eV per cell
**Electronic total energy**: -8.176 eV per atom

Cs2HgBi4Pb3: optimized geometry, GGA-PBE.

```
Cs2HgBi4Pb3
1.0
-4.139 3.571 -0.450
-3.471 -4.142 -0.939
-2.330 -1.037 13.188
Hg Bi Pb Cs
1 4 3 2
direct
0.500 0.500 0.500 Hg
0.000 0.000 0.000 Bi
0.500 0.500 0.000 Bi
0.000 0.500 0.377 Bi
0.500 0.000 0.623 Bi
0.500 0.000 0.872 Pb
0.000 0.000 0.500 Pb
0.000 0.500 0.128 Pb
0.500 0.000 0.256 Cs
0.000 0.500 0.744 Cs
```

## Properties
**Space-group type**: P-4m2, No. 115
**Total moment**: 0.000 μB/cell
**E_form**: -172 meV per atom
**N(E_F)**: 4.735 states/eV per cell
**Electronic total energy**: -3.038 eV per atom

Pm2TiPd: optimized geometry, GGA-PBE.

```
Pm2TiPd
1.0
3.659 0.000 0.000
0.000 3.659 0.000
0.000 0.000 7.325
Pd Ti Pm
1 1 2
direct
0.500 0.500 0.000 Pd
0.500 0.500 0.500 Ti
0.000 0.000 0.764 Pm
0.000 0.000 0.236 Pm
```

## Properties
**Space-group type**: P4/mmm, No. 123
**Total moment**: 1.509 μB/cell
**E_form**: -194 meV per atom
**N(E_F)**: 4.807 states/eV per cell
**Electronic total energy**: -5.841 eV per atom

CuHg3Se4: optimized geometry, GGA-PBE.

```
CuHg3Se4
1.0
5.458 0.000 -2.646
-1.283 5.305 -2.646
0.227 0.288 7.418
Hg Se Cu
3 4 1
direct
0.750 0.250 0.500 Hg
0.500 0.500 0.000 Hg
0.250 0.750 0.500 Hg
0.656 0.113 0.769 Se
0.887 0.887 0.231 Se
0.113 0.656 0.769 Se
0.344 0.344 0.231 Se
0.000 0.000 0.000 Cu
```

## Properties
**Excess energy over the best structure of this formula in the dataset**: 0 meV/atom
**Space-group type**: I-42m, No. 121
**Total moment**: 0.000 μB/cell
**N(E_F)**: 4.883 states/eV per cell
**Electronic total energy**: -2.538 eV per atom

LiMo2Cl: optimized geometry, GGA-PBE.

```
LiMo2Cl
1.0
-0.993 -2.798 0.525
1.650 0.316 -2.503
6.875 -1.629 4.327
Cl Mo Li
1 2 1
direct
0.000 0.000 0.524 Cl
0.000 0.000 0.018 Mo
0.500 0.500 0.240 Mo
0.500 0.500 0.717 Li
```

## Properties
**Excess energy over the best structure of this formula in the dataset**: 88 meV/atom
**Space-group type**: Cmm2, No. 35
**Total moment**: 0.000 μB/cell
**N(E_F)**: 3.068 states/eV per cell
**Electronic total energy**: -6.369 eV per atom

EuSn3H: optimized geometry, GGA-PBE.

```
EuSn3H
1.0
-3.250 -1.405 3.260
-2.311 -2.518 -3.389
2.695 -3.854 1.026
Sn Eu H
3 1 1
direct
0.000 0.000 0.500 Sn
0.000 0.500 0.000 Sn
0.500 0.000 0.000 Sn
0.500 0.500 0.500 Eu
0.000 0.000 0.000 H
```

## Properties
**Space-group type**: Pm-3m, No. 221
**Total moment**: 6.938 μB/cell
**N(E_F)**: 1.759 states/eV per cell
**Electronic total energy**: -5.330 eV per atom

CsRb2InAs2: optimized geometry, GGA-PBE.

```
CsRb2InAs2
1.0
7.334 0.000 0.000
0.000 8.703 0.000
-3.667 -4.351 7.553
In Rb As Cs
2 4 4 2
direct
0.250 0.500 0.000 In
0.750 0.500 0.000 In
0.317 0.131 0.634 Rb
0.183 0.497 0.366 Rb
0.817 0.503 0.634 Rb
0.683 0.869 0.366 Rb
0.906 0.229 0.812 As
0.594 0.417 0.188 As
0.406 0.583 0.812 As
0.094 0.771 0.188 As
0.250 0.000 0.000 Cs
0.750 0.000 0.000 Cs
```

## Properties
**Space-group type**: Ibam, No. 72
**Total moment**: 0.000 μB/cell
**E_form**: -415 meV per atom
**N(E_F)**: 0.642 states/eV per cell
**Electronic total energy**: -2.886 eV per atom

Nd2BeIr2: optimized geometry, GGA-PBE.

```
Nd2BeIr2
1.0
-4.771 -2.471 -2.213
-0.637 -0.969 -5.694
2.190 -7.003 -0.421
Ir Nd Be
4 4 2
direct
0.253 0.000 0.489 Ir
0.000 0.747 0.011 Ir
0.000 0.253 0.989 Ir
0.747 0.000 0.511 Ir
0.221 0.482 0.649 Nd
0.518 0.779 0.851 Nd
0.482 0.221 0.149 Nd
0.779 0.518 0.351 Nd
0.915 0.085 0.750 Be
0.085 0.915 0.250 Be
```

## Properties
**Space-group type**: C2/c, No. 15
**Total moment**: 0.000 μB/cell
**E_form**: -592 meV per atom
**N(E_F)**: 5.046 states/eV per cell
**Electronic total energy**: -6.789 eV per atom

ZnGaNi: optimized geometry, GGA-PBE.

```
ZnGaNi
1.0
-1.768 3.420 2.903
-3.730 -1.412 -0.608
1.085 -4.033 2.709
Zn Ga Ni
2 2 2
direct
0.883 0.750 0.600 Zn
0.117 0.250 0.400 Zn
0.393 0.750 0.125 Ga
0.607 0.250 0.875 Ga
0.112 0.250 0.897 Ni
0.888 0.750 0.103 Ni
```

## Properties
**Space-group type**: P2_1/m, No. 11
**Total moment**: 0.000 μB/cell
**E_form**: -244 meV per atom
**N(E_F)**: 2.406 states/eV per cell
**Electronic total energy**: -3.605 eV per atom

NaCaTl2Sb: optimized geometry, GGA-PBE.

```
NaCaTl2Sb
1.0
-5.041 2.276 -2.459
-1.854 -5.193 -1.005
-2.686 -0.091 5.423
Tl Ca Na Sb
2 1 1 1
direct
0.000 0.000 0.500 Tl
0.500 0.000 0.000 Tl
0.500 0.500 0.500 Ca
0.000 0.500 0.000 Na
0.000 0.000 0.000 Sb
```

## Properties
**Space-group type**: P4/mmm, No. 123
**Total moment**: 0.000 μB/cell
**N(E_F)**: 3.381 states/eV per cell
**Electronic total energy**: -2.261 eV per atom

PmHoThIn: optimized geometry, GGA-PBE.

```
PmHoThIn
1.0
-1.940 -2.835 4.290
3.357 -3.257 2.886
1.466 1.400 5.108
Ho Pm Th In
1 1 1 1
direct
0.000 0.000 0.000 Ho
0.500 0.500 0.500 Pm
0.750 0.750 0.750 Th
0.250 0.250 0.250 In
```

## Properties
**Space-group type**: F-43m, No. 216
**Total moment**: 0.000 μB/cell
**E_form**: -34 meV per atom
**N(E_F)**: 7.038 states/eV per cell
**Electronic total energy**: -4.906 eV per atom

MnOsBr2: optimized geometry, GGA-PBE.

```
MnOsBr2
1.0
2.144 -3.599 1.566
-2.319 -3.608 1.268
0.171 -3.741 -2.445
Mn Br Os
1 2 1
direct
0.000 0.000 0.000 Mn
0.750 0.750 0.750 Br
0.250 0.250 0.250 Br
0.500 0.500 0.500 Os
```

## Properties
**Excess energy over the best structure of this formula in the dataset**: 1212 meV/atom
**Space-group type**: Fm-3m, No. 225
**Total moment**: 0.000 μB/cell
**N(E_F)**: 5.284 states/eV per cell
**Electronic total energy**: -4.459 eV per atom

Nd6Tl3O2: optimized geometry, GGA-PBE.

```
Nd6Tl3O2
1.0
-2.526 3.444 -2.337
-3.832 -0.858 2.878
7.476 7.525 8.079
Nd Tl O
6 3 2
direct
0.302 0.302 0.605 Nd
0.915 0.415 0.829 Nd
0.415 0.915 0.829 Nd
0.085 0.585 0.171 Nd
0.698 0.698 0.395 Nd
0.585 0.085 0.171 Nd
0.824 0.824 0.647 Tl
0.176 0.176 0.353 Tl
0.000 0.000 0.000 Tl
0.397 0.397 0.794 O
0.603 0.603 0.206 O
```

## Properties
**Space-group type**: I4/mmm, No. 139
**Total moment**: 0.000 μB/cell
**N(E_F)**: 6.715 states/eV per cell
**Electronic total energy**: -5.345 eV per atom

LiSiSe3: optimized geometry, GGA-PBE.

```
LiSiSe3
1.0
5.999 0.000 0.000
0.000 9.666 1.322
0.000 -2.336 10.175
Se Si Li
12 4 4
direct
0.891 0.185 0.057 Se
0.629 0.846 0.925 Se
0.371 0.154 0.075 Se
0.742 0.921 0.293 Se
0.258 0.079 0.707 Se
0.871 0.346 0.425 Se
0.391 0.315 0.443 Se
0.109 0.815 0.943 Se
0.129 0.654 0.575 Se
0.242 0.579 0.207 Se
0.758 0.421 0.793 Se
0.609 0.685 0.557 Se
0.687 0.002 0.105 Si
0.187 0.498 0.395 Si
0.813 0.502 0.605 Si
0.313 0.998 0.895 Si
0.606 0.675 0.305 Li
0.106 0.825 0.195 Li
0.894 0.175 0.805 Li
0.394 0.325 0.695 Li
```

## Properties
**Excess energy over the best structure of this formula in the dataset**: 0 meV/atom
**Space-group type**: P2_1/c, No. 14
**Total moment**: 0.000 μB/cell
**N(E_F)**: 5.079 states/eV per cell
**Electronic total energy**: -4.073 eV per atom